Here is a geometry-optimized Ca2TaTl structure from Alexandria via LeMat-Bulk. Energies are from PBE.

Results
ΔH_f (0 K) (eV/atom): 0.416

Lattice parameters (Å, degrees): 3.3532 5.1066 6.5775 90.00 104.69 90.00
Closest atoms and distances in Å follow each position.
Space group Pm (No. 6)
One atom of each set of equivalent atoms:
Ca (0.0000, 0.0000, 0.0000)  3 Tl 3.30-3.52, 4 Ta 3.34, 2 Ca 3.35
Ca (0.3306, 0.5000, 0.6644)  3 Ta 3.33-3.49, 4 Ca 3.35-3.72, 4 Tl 3.35
Ta (0.6058, 0.5000, 0.2123)  2 Tl 2.96
Tl (0.7224, 0.0000, 0.4469)  2 Ta 2.96, 2 Ca 3.30

Here is a geometry-optimized Tb4NdY structure from Alexandria via LeMat-Bulk. Energies are from PBE.

Results
ΔH_f (0 K) (eV/atom): 0.250

Lattice parameters (Å, degrees): 6.7557 12.0988 9.7900 90.00 90.00 90.00
Closest atoms and distances in Å follow each position.
Space group Cmcm (No. 63)
One atom of each set of equivalent atoms:
Tb (0.0000, 0.1550, 0.0701)  7 Tb 3.52-3.94, 3 Nd 3.73-3.82, 2 Y 3.92
Tb (0.2395, 0.1035, 0.7500)  1 Nd 3.10, 1 Tb 3.24, 2 Y 3.26
Nd (0.0000, 0.3220, 0.7500)  2 Tb 3.10, 2 Y 3.26
Y (0.0000, 0.5000, 0.0000)  2 Nd 3.26, 4 Tb 3.26

Here is a geometry-optimized DyYAlCd structure from Alexandria via LeMat-Bulk. Energies are from PBE.

Results
ΔH_f (0 K) (eV/atom): -0.370

Lattice parameters (Å, degrees): 7.3610 7.3610 7.3610 90.00 90.00 90.00
Closest atoms and distances in Å follow each position.
Space group F-43m (No. 216)
One atom of each set of equivalent atoms:
Dy (0.0000, 0.0000, 0.0000)  4 Cd 3.19, 4 Al 3.19
Y (0.0000, 0.0000, 0.5000)  4 Al 3.19, 4 Cd 3.19
Al (0.2500, 0.2500, 0.7500)  4 Dy 3.19, 4 Y 3.19
Cd (0.2500, 0.2500, 0.2500)  4 Dy 3.19, 4 Y 3.19

Here is a geometry-optimized Nb6GaSn structure from Alexandria via LeMat-Bulk. Energies are from PBE.

Results
ΔH_f (0 K) (eV/atom): 0.317

Lattice parameters (Å, degrees): 8.3504 5.5112 7.4606 90.00 106.09 90.00
Closest atoms and distances in Å follow each position.
Space group C2/m (No. 12)
One atom of each set of equivalent atoms:
Nb (0.1381, 0.0000, 0.4383)  5 Nb 2.71-2.88, 1 Ga 2.93
Nb (0.1997, 0.2434, 0.7924)  5 Nb 2.68-2.98, 1 Ga 2.74, 2 Sn 2.90-2.92
Ga (0.0000, 0.5000, 0.5000)  10 Nb 2.74-3.07
Sn (0.0000, 0.0000, 0.0000)  10 Nb 2.90-3.15